# RbTlSi (PBE-GGA, optimized geometry)
# E, eV per atom: -2.901
data_RbTlSi
_cell_length_a 5.874
_cell_length_b 3.906
_cell_length_c 9.237
_cell_angle_alpha 77.79
_cell_angle_beta 71.46
_cell_angle_gamma 90.00
_space_group_name_H-M_alt 'P 1'
_space_group_IT_number 1
loop_
_space_group_symop_operation_xyz
'x,y,z'
loop_
_atom_site_label
_atom_site_type_symbol
_atom_site_fract_x
_atom_site_fract_y
_atom_site_fract_z
_atom_site_occupancy
Si1 Si 0.963 0.213 0.075 1
Si2 Si 0.037 0.787 0.925 1
Tl1 Tl 0.206 0.956 0.588 1
Tl2 Tl 0.794 0.044 0.412 1
Rb1 Rb 0.394 0.644 0.212 1
Rb2 Rb 0.606 0.356 0.788 1

---

# RbTlSi2 (PBE-GGA, optimized geometry)
# E above lowest polymorph, meV per atom: 0
data_RbTlSi2
_cell_length_a 5.143
_cell_length_b 5.143
_cell_length_c 10.468
_cell_angle_alpha 75.78
_cell_angle_beta 75.78
_cell_angle_gamma 90.00
_space_group_name_H-M_alt 'P 1'
_space_group_IT_number 1
loop_
_space_group_symop_operation_xyz
'x,y,z'
loop_
_atom_site_label
_atom_site_type_symbol
_atom_site_fract_x
_atom_site_fract_y
_atom_site_fract_z
_atom_site_occupancy
Si1 Si 0.875 0.125 0.750 1
Si2 Si 0.375 0.125 0.750 1
Rb1 Rb 0.500 0.500 0.000 1
Tl1 Tl 0.000 0.000 0.000 1
Tl2 Tl 0.750 0.250 0.500 1
Rb2 Rb 0.250 0.750 0.500 1
Si3 Si 0.875 0.125 0.250 1
Si4 Si 0.875 0.625 0.250 1

---

# RbTlSi (PBE-GGA, optimized geometry)
# E, eV per atom: -2.830
data_RbTlSi
_cell_length_a 3.848
_cell_length_b 7.641
_cell_length_c 8.968
_cell_angle_alpha 109.02
_cell_angle_beta 90.52
_cell_angle_gamma 104.06
_space_group_name_H-M_alt 'P 1'
_space_group_IT_number 1
loop_
_space_group_symop_operation_xyz
'x,y,z'
loop_
_atom_site_label
_atom_site_type_symbol
_atom_site_fract_x
_atom_site_fract_y
_atom_site_fract_z
_atom_site_occupancy
Tl1 Tl 0.598 0.667 0.700 1
Rb1 Rb 0.863 0.189 0.651 1
Si1 Si 0.467 0.405 0.402 1
Si2 Si 0.928 0.331 0.237 1
Rb2 Rb 0.228 0.918 0.075 1
Tl2 Tl 0.124 0.731 0.402 1

---

# RbTlSi (PBE-GGA, optimized geometry)
# E, eV per atom: -2.885
data_RbTlSi
_cell_length_a 15.611
_cell_length_b 8.013
_cell_length_c 8.013
_cell_angle_alpha 151.95
_cell_angle_beta 150.55
_cell_angle_gamma 29.45
_space_group_name_H-M_alt 'P 1'
_space_group_IT_number 1
loop_
_space_group_symop_operation_xyz
'x,y,z'
loop_
_atom_site_label
_atom_site_type_symbol
_atom_site_fract_x
_atom_site_fract_y
_atom_site_fract_z
_atom_site_occupancy
Rb1 Rb 0.365 0.761 0.239 1
Rb2 Rb 0.635 0.239 0.761 1
Si1 Si 0.889 0.358 0.642 1
Si2 Si 0.111 0.642 0.358 1
Tl1 Tl 0.845 0.745 0.255 1
Tl2 Tl 0.155 0.255 0.745 1

---

# RbTlSi (PBE-GGA, optimized geometry)
# E, eV per atom: -2.898
data_RbTlSi
_cell_length_a 14.181
_cell_length_b 6.936
_cell_length_c 6.936
_cell_angle_alpha 147.54
_cell_angle_beta 139.28
_cell_angle_gamma 40.72
_space_group_name_H-M_alt 'P 1'
_space_group_IT_number 1
loop_
_space_group_symop_operation_xyz
'x,y,z'
loop_
_atom_site_label
_atom_site_type_symbol
_atom_site_fract_x
_atom_site_fract_y
_atom_site_fract_z
_atom_site_occupancy
Rb1 Rb 0.870 0.131 0.869 1
Tl1 Tl 0.607 0.663 0.337 1
Si1 Si 0.203 0.336 0.664 1
Si2 Si 0.321 0.804 0.196 1
Tl2 Tl 0.534 0.007 0.993 1
Rb2 Rb 0.224 0.599 0.401 1

---

# RbTlSi (PBE-GGA, optimized geometry)
# E, eV per atom: -2.831
data_RbTlSi
_cell_length_a 4.639
_cell_length_b 7.442
_cell_length_c 7.426
_cell_angle_alpha 110.79
_cell_angle_beta 75.52
_cell_angle_gamma 79.82
_space_group_name_H-M_alt 'P 1'
_space_group_IT_number 1
loop_
_space_group_symop_operation_xyz
'x,y,z'
loop_
_atom_site_label
_atom_site_type_symbol
_atom_site_fract_x
_atom_site_fract_y
_atom_site_fract_z
_atom_site_occupancy
Tl1 Tl 0.082 0.796 0.234 1
Si1 Si 0.560 0.963 0.128 1
Si2 Si 0.135 0.228 0.367 1
Tl2 Tl 0.556 0.168 0.568 1
Rb1 Rb 0.340 0.720 0.663 1
Rb2 Rb 0.808 0.349 0.023 1